The following is a GGA-PBE calculation of an optimized crystal structure of TlHg2Ir, from the Alexandria database.

Lattice parameters (Å, degrees): 9.8995 9.8995 9.8995 18.71 18.71 18.71
With the nearest neighbours (Å) after each atom.
Positions (direct):
Hg 0.5098 0.5098 0.5098  3 Ir 2.84
Hg 0.9902 0.9902 0.9902  3 Ir 2.84
Tl 0.7500 0.7500 0.7500  6 Tl 3.22, 6 Hg 3.29
Ir 0.2500 0.2500 0.2500  6 Hg 2.84

Space-group type: R-3m (166)
Total magnetization: 0.000 μB/f.u.
Electronic total energy: -10.0 eV/cell
Offset from the most stable computed form: 184.5 meV per atom
Calculated formation energy: 0.462 eV per atom